Entry from Alexandria via LeMat-Bulk: crystalline RbHSeCl at its relaxed geometry (PBE).

Cell lengths 3.3579, 4.7769, 7.4156 Å; angles 89.79, 89.66, 90.00 degrees
Last column: nearest neighbours and their distance in Å.
Positions (direct):
H  0.4011  0.2014  0.3183  1 Se 1.51
Se  0.4001  0.2019  0.5223  1 H 1.51
Cl  0.3920  0.1991  0.0173  1 H 2.23
Rb  0.8946  0.7002  0.8401  4 Cl 3.20, 2 Rb 3.36

Output
Raw total energy in eV/atom: -3.06
Space-group type: No. 1

Entry from Alexandria via LeMat-Bulk: crystalline LaPmSiBr at its relaxed geometry (PBE).

Cell lengths 5.2641, 5.2641, 5.2641 Å; angles 60.00, 60.00, 60.00 degrees
Last column: nearest neighbours and their distance in Å.
Positions (direct):
La  0.0000  0.0000  0.0000  4 Si 3.22, 4 Br 3.22
Br  0.2500  0.2500  0.2500  4 La 3.22, 4 Pm 3.22
Si  0.7500  0.7500  0.7500  4 Pm 3.22, 4 La 3.22
Pm  0.5000  0.5000  0.5000  4 Br 3.22, 4 Si 3.22

Output
Raw total energy in eV/atom: -5.06
Space-group type: No. 216
Formation energy without anion corrections in eV/atom: -0.870

Entry from Alexandria via LeMat-Bulk: crystalline BeRePb4 at its relaxed geometry (PBE).

Cell lengths 6.2844, 6.2844, 6.2844 Å; angles 60.00, 60.00, 60.00 degrees
Last column: nearest neighbours and their distance in Å.
Positions (direct):
Pb  0.3754  0.8738  0.3754  6 Pb 3.13-3.15
Pb  0.3754  0.3754  0.3754  6 Pb 3.13-3.15
Be  0.0000  0.0000  0.0000  12 Pb 3.69, 4 Re 3.85
Pb  0.8738  0.3754  0.3754  6 Pb 3.13-3.15
Pb  0.3754  0.3754  0.8738  6 Pb 3.13-3.15
Re  0.7500  0.7500  0.7500  12 Pb 3.68, 4 Be 3.85

Output
Raw total energy in eV/atom: -3.67
Energy relative to the elements in eV/f.u.: 8.976
Space-group type: No. 216

Entry from Alexandria via LeMat-Bulk: crystalline Sm2YAg3 at its relaxed geometry (PBE).

Cell lengths 3.6706, 3.6706, 11.1725 Å; angles 90.00, 90.00, 90.00 degrees
Last column: nearest neighbours and their distance in Å.
Positions (direct):
Sm  0.5000  0.5000  0.1690  8 Ag 3.21-3.22
Ag  0.0000  0.0000  0.3403  4 Y 3.15, 4 Sm 3.22
Ag  0.0000  0.0000  0.0000  8 Sm 3.21
Y  0.5000  0.5000  0.5000  8 Ag 3.15
Ag  0.0000  0.0000  0.6597  4 Y 3.15, 4 Sm 3.22
Sm  0.5000  0.5000  0.8310  8 Ag 3.21-3.22

Output
Raw total energy in eV/atom: -4.37
Energy relative to the elements in eV/f.u.: -1.788
Space-group type: No. 123

Entry from Alexandria via LeMat-Bulk: crystalline RbCa2Rh2 at its relaxed geometry (PBE).

Cell lengths 8.7571, 8.7571, 3.1960 Å; angles 90.00, 90.00, 90.00 degrees
Last column: nearest neighbours and their distance in Å.
Positions (direct):
Rb  0.5000  0.5000  0.0000  2 Rb 3.20, 4 Ca 3.41
Ca  0.6348  0.1348  0.0000  6 Rh 2.99-3.07, 3 Ca 3.20-3.34
Ca  0.1348  0.3652  0.0000  6 Rh 2.99-3.07, 3 Ca 3.20-3.34
Rb  0.0000  0.0000  0.0000  2 Rb 3.20, 4 Ca 3.41
Ca  0.3652  0.8652  0.0000  6 Rh 2.99-3.07, 3 Ca 3.20-3.34
Ca  0.8652  0.6348  0.0000  6 Rh 2.99-3.07, 3 Ca 3.20-3.34
Rh  0.1537  0.6537  0.5000  6 Ca 2.99-3.07, 2 Rh 3.20
Rh  0.3463  0.1537  0.5000  6 Ca 2.99-3.07, 2 Rh 3.20
Rh  0.8463  0.3463  0.5000  6 Ca 2.99-3.07, 2 Rh 3.20
Rh  0.6537  0.8463  0.5000  6 Ca 2.99-3.07, 2 Rh 3.20

Output
Raw total energy in eV/atom: -3.89
Energy relative to the elements in eV/f.u.: 0.228
Space-group type: No. 127

Entry from Alexandria via LeMat-Bulk: crystalline ErAl2Ag2 at its relaxed geometry (PBE).

Cell lengths 5.9931, 5.9931, 7.6073 Å; angles 99.46, 99.46, 125.66 degrees
Last column: nearest neighbours and their distance in Å.
Positions (direct):
Ag  0.8989  0.8989  0.7979  4 Al 2.56-2.63
Ag  0.1489  0.6489  0.2979  4 Al 2.56-2.63
Al  0.0431  0.9569  0.5000  4 Ag 2.56-2.63
Ag  0.1011  0.1011  0.2021  4 Al 2.56-2.63
Er  0.5000  0.5000  0.0000  4 Ag 3.09, 2 Al 3.13
Al  0.2069  0.7931  0.0000  4 Ag 2.56-2.63
Ag  0.3511  0.8511  0.7021  4 Al 2.56-2.63
Al  0.4569  0.5431  0.5000  4 Ag 2.56-2.63
Al  0.7931  0.2069  0.0000  4 Ag 2.56-2.63
Er  0.7500  0.2500  0.5000  4 Ag 3.09, 2 Al 3.13

Output
Raw total energy in eV/atom: -3.73
Energy relative to the elements in eV/f.u.: -0.888
Space-group type: No. 70

Entry from Alexandria via LeMat-Bulk: crystalline Ac2LuHg at its relaxed geometry (PBE).

Cell lengths 3.9202, 5.9434, 5.9434 Å; angles 90.00, 90.00, 90.00 degrees
Last column: nearest neighbours and their distance in Å.
Positions (direct):
Lu  0.5000  0.5000  0.5000  8 Ac 3.56, 2 Lu 3.92
Ac  0.0000  0.0000  0.5000  4 Lu 3.56, 4 Hg 3.56, 2 Ac 3.92
Ac  0.0000  0.5000  0.0000  4 Hg 3.56, 4 Lu 3.56, 2 Ac 3.92
Hg  0.5000  0.0000  0.0000  8 Ac 3.56, 2 Hg 3.92

Output
Raw total energy in eV/atom: -3.40
Energy relative to the elements in eV/f.u.: -0.572
Space-group type: No. 123

Entry from Alexandria via LeMat-Bulk: crystalline Li8Cd5Ga at its relaxed geometry (PBE).

Cell lengths 7.0579, 7.0579, 7.0579 Å; angles 110.20, 108.03, 110.20 degrees
Last column: nearest neighbours and their distance in Å.
Positions (direct):
Cd  0.8932  0.9079  0.2099  8 Li 2.79-3.00, 2 Cd 3.12
Li  0.1408  0.7057  0.0489  1 Ga 2.61, 5 Cd 2.77-2.87
Li  0.3432  0.2943  0.4351  1 Ga 2.61, 5 Cd 2.77-2.87
Li  0.5126  0.5997  0.2414  5 Cd 2.83-3.00, 3 Li 2.85-3.04, 1 Ga 3.06
Ga  0.2500  0.5000  0.7500  4 Li 2.61
Li  0.9511  0.0919  0.6568  1 Ga 2.61, 5 Cd 2.77-2.87
Cd  0.5000  0.0000  0.5000  8 Li 2.77-2.83
Li  0.7586  0.2712  0.3583  5 Cd 2.83-3.00, 3 Li 2.85-3.04, 1 Ga 3.06
Li  0.0871  0.7288  0.4874  5 Cd 2.83-3.00, 3 Li 2.85-3.04, 1 Ga 3.06
Li  0.5649  0.9081  0.8592  1 Ga 2.61, 5 Cd 2.77-2.87
Cd  0.7901  0.6833  0.6980  8 Li 2.79-3.00, 2 Cd 3.12
Li  0.6417  0.4003  0.9129  5 Cd 2.83-3.00, 3 Li 2.85-3.04, 1 Ga 3.06
Cd  0.0147  0.3167  0.1068  8 Li 2.79-3.00, 2 Cd 3.12
Cd  0.3020  0.0921  0.9853  8 Li 2.79-3.00, 2 Cd 3.12

Output
Raw total energy in eV/atom: -1.76
Energy relative to the elements in eV/f.u.: -1.780
Space-group type: No. 82

Entry from Alexandria via LeMat-Bulk: crystalline La2PmZn4 at its relaxed geometry (PBE).

Cell lengths 5.1372, 5.1372, 9.0353 Å; angles 73.48, 73.48, 60.00 degrees
Last column: nearest neighbours and their distance in Å.
Positions (direct):
Zn  0.6269  0.6269  0.1194  3 Pm 3.14, 4 La 3.22-3.30
La  0.2442  0.2442  0.2675  8 Zn 3.09-3.30
La  0.7558  0.7558  0.7325  8 Zn 3.09-3.30
Pm  0.0000  0.0000  0.0000  8 Zn 3.14
Zn  0.1226  0.1226  0.6321  4 La 3.09-3.11, 1 Pm 3.14
Zn  0.8774  0.8774  0.3679  4 La 3.09-3.11, 1 Pm 3.14
Zn  0.3731  0.3731  0.8806  3 Pm 3.14, 4 La 3.22-3.30

Output
Raw total energy in eV/atom: -2.90
Energy relative to the elements in eV/f.u.: -0.631
Space-group type: No. 166

Entry from Alexandria via LeMat-Bulk: crystalline K2PuHg2Te4 at its relaxed geometry (PBE).

Cell lengths 4.7226, 8.4944, 8.7448 Å; angles 108.35, 105.67, 90.00 degrees
Last column: nearest neighbours and their distance in Å.
Positions (direct):
Te  0.7955  0.8007  0.5911  3 Hg 2.93-3.08
Hg  0.3349  0.0160  0.6697  4 Te 2.87-3.08
Te  0.5010  0.2559  0.0020  1 Hg 2.87, 2 Pu 3.21
K  0.8718  0.4220  0.7436  7 Te 3.69-3.83, 2 Hg 4.06, 1 K 4.08
Te  0.2045  0.1993  0.4089  3 Hg 2.93-3.08
Hg  0.6651  0.9840  0.3303  4 Te 2.87-3.08
Pu  0.0000  0.0000  0.0000  6 Te 3.21-3.30
Te  0.4990  0.7441  0.9980  1 Hg 2.87, 2 Pu 3.21
K  0.1282  0.5780  0.2564  7 Te 3.69-3.83, 2 Hg 4.06, 1 K 4.08

Output
Raw total energy in eV/atom: -3.98
Space-group type: No. 12
Formation energy without anion corrections in eV/atom: -0.678

Entry from Alexandria via LeMat-Bulk: crystalline AcSm3Dy8 at its relaxed geometry (PBE).

Cell lengths 8.5557, 8.5557, 8.5643 Å; angles 95.50, 100.29, 136.48 degrees
Last column: nearest neighbours and their distance in Å.
Positions (direct):
Sm  0.1653  0.6653  0.5000  10 Dy 3.55-3.67, 2 Sm 3.57
Dy  0.5028  0.1679  0.3348  7 Dy 3.52-3.66, 4 Sm 3.53-3.67, 1 Ac 3.67
Sm  0.5039  0.2515  0.7477  10 Dy 3.53-3.71, 1 Sm 3.57, 1 Ac 3.62
Dy  0.4987  0.6693  0.8292  7 Dy 3.52-3.74, 3 Sm 3.61, 2 Ac 3.65-3.71
Dy  0.1659  0.2504  0.4223  7 Dy 3.52-3.71, 4 Sm 3.55-3.71, 1 Ac 3.62
Dy  0.8281  0.7436  0.5777  7 Dy 3.51-3.71, 4 Sm 3.55-3.71, 1 Ac 3.62
Dy  0.8331  0.1680  0.6652  7 Dy 3.52-3.66, 4 Sm 3.53-3.67, 1 Ac 3.67
Dy  0.8283  0.2503  0.0841  7 Dy 3.52-3.71, 4 Sm 3.56-3.71, 1 Ac 3.61
Ac  0.1637  0.1637  0.0000  10 Dy 3.61-3.71, 2 Sm 3.62
Dy  0.8401  0.6695  0.1708  7 Dy 3.51-3.74, 3 Sm 3.61, 2 Ac 3.65-3.71
Dy  0.1662  0.7442  0.9159  7 Dy 3.52-3.71, 4 Sm 3.56-3.71, 1 Ac 3.61
Sm  0.5038  0.7561  0.2523  10 Dy 3.53-3.71, 1 Sm 3.57, 1 Ac 3.62

Output
Raw total energy in eV/atom: -4.56
Energy relative to the elements in eV/f.u.: 0.381
Space-group type: No. 44

Entry from Alexandria via LeMat-Bulk: crystalline DyUSe3 at its relaxed geometry (PBE).

Cell lengths 4.1023, 4.1023, 20.5790 Å; angles 90.00, 90.00, 120.00 degrees
Last column: nearest neighbours and their distance in Å.
Positions (direct):
Dy  0.6667  0.3333  0.2843  6 Se 2.76-3.02
Dy  0.3333  0.6667  0.7843  6 Se 2.76-3.02
U  0.0000  0.0000  0.9627  6 Se 2.82-2.98
Se  0.0000  0.0000  0.2157  3 Dy 2.76
U  0.0000  0.0000  0.4627  6 Se 2.82-2.98
Se  0.3333  0.6667  0.0371  3 U 2.82
Se  0.6667  0.3333  0.8752  3 U 2.98, 3 Dy 3.02
Se  0.0000  0.0000  0.7157  3 Dy 2.76
Se  0.3333  0.6667  0.3752  3 U 2.98, 3 Dy 3.02
Se  0.6667  0.3333  0.5371  3 U 2.82

Output
Raw total energy in eV/atom: -6.69
Space-group type: No. 186
Formation energy without anion corrections in eV/atom: -1.425